Here is an optimized crystal structure of RbSr2Pd from the Alexandria database. Energies are from PBE.

Summary:
Its total magnetization is 0.00 μB per atom. Its energy above the most stable polymorph in this dataset is 185 meV/atom. For the calculated formation energy, the calculation gives -27 kJ/mol of formula units. Its total energy is -2.4504 eV/atom.

Cell: 10.1007 10.1007 7.5813 Å, 90.00 90.00 90.00°
Space group I-42d (No. 122)
One atom of each set of equivalent atoms:
Rb (0.0000, 0.0000, 0.0000)
Sr (0.1328, 0.2500, 0.6250)
Pd (0.0000, 0.0000, 0.5000)

***

Here is an optimized crystal structure of RbSr3Pd from the Alexandria database. Energies are from PBE.

Summary:
Its total magnetization is 0.00 μB per atom. Its energy above the most stable polymorph in this dataset is 113 meV/atom. For the calculated formation energy, the calculation gives -66 kJ/mol of formula units. Its total energy is -2.3777 eV/atom.

Cell: 14.5938 16.0519 8.1712 Å, 90.00 99.66 90.00°
Space group C2/c (No. 15)
One atom of each set of equivalent atoms:
Rb (0.1287, 0.1846, 0.1156)
Sr (0.1097, 0.4276, 0.9568)
Sr (0.1239, 0.0821, 0.6567)
Sr (0.1251, 0.3266, 0.5088)
Pd (0.0000, 0.2528, 0.7500)
Pd (0.0000, 0.4323, 0.2500)

***

Here is an optimized crystal structure of RbSr3Pd from the Alexandria database. Energies are from PBE.

Summary:
Its total magnetization is 0.00 μB per atom. Its energy above the most stable polymorph in this dataset is 29 meV/atom. For the calculated formation energy, the calculation gives -107 kJ/mol of formula units. Its total energy is -2.4623 eV/atom.

Cell: 4.3898 10.2516 11.4291 Å, 90.00 90.05 90.00°
Space group P2_1/m (No. 11)
One atom of each set of equivalent atoms:
Rb (0.2490, 0.2500, 0.4501)
Sr (0.2498, 0.5686, 0.8749)
Sr (0.2504, 0.7500, 0.1952)
Pd (0.2498, 0.2500, 0.9927)

***

Here is an optimized crystal structure of RbSr3Pd from the Alexandria database. Energies are from PBE.

Summary:
Its total magnetization is 0.00 μB per atom. Its energy above the most stable polymorph in this dataset is 623 meV/atom. For the calculated formation energy, the calculation gives 180 kJ/mol of formula units. Its total energy is -1.8680 eV/atom.

Cell: 7.2198 22.7642 8.0222 Å, 90.00 90.00 90.00°
Space group Cmcm (No. 63)
One atom of each set of equivalent atoms:
Rb (0.0000, 0.1830, 0.2500)
Sr (0.0000, 0.0000, 0.0000)
Sr (0.2420, 0.3708, 0.2500)
Pd (0.0000, 0.4706, 0.2500)